Here is a geometry-optimized CsTcH2Rh structure from Alexandria via LeMat-Bulk. Energies are from PBE.

## Properties
Theoretical density (g/cm³): 5.55

a b c (Å): 3.851 3.851 6.780
angles (deg): 90.00 90.00 90.00
Atoms (fractional coordinates):
Cs (0.000, 0.000, 0.000)
Tc (0.000, 0.000, 0.500)
H (0.000, 0.500, 0.000)
H (0.500, 0.000, 0.000)
Rh (0.500, 0.500, 0.500)


Here is a geometry-optimized SrI structure from Alexandria via LeMat-Bulk. Energies are from PBE.

## Properties
Theoretical density (g/cm³): 3.52
Formation energy (no corrections) (meV per atom): -1074

a b c (Å): 9.159 8.177 7.973
angles (deg): 69.09 56.50 54.40
Atoms (fractional coordinates):
Sr (0.095, 0.655, 0.655)
Sr (0.345, 0.905, 0.905)
Sr (0.655, 0.095, 0.095)
Sr (0.905, 0.345, 0.345)
I (0.214, 0.214, 0.536)
I (0.464, 0.464, 0.786)
I (0.536, 0.536, 0.214)
I (0.786, 0.786, 0.464)


Here is a geometry-optimized SrIn2Au3 structure from Alexandria via LeMat-Bulk. Energies are from PBE.

## Properties
Theoretical density (g/cm³): 10.13
DFT formation energy (meV per atom): -459

a b c (Å): 6.967 6.967 6.347
angles (deg): 90.00 90.00 75.19
Atoms (fractional coordinates):
Sr (0.171, 0.829, 0.750)
Sr (0.829, 0.171, 0.250)
In (0.290, 0.290, 0.000)
In (0.290, 0.290, 0.500)
In (0.710, 0.710, 0.000)
In (0.710, 0.710, 0.500)
Au (0.042, 0.687, 0.250)
Au (0.313, 0.958, 0.250)
Au (0.455, 0.545, 0.250)
Au (0.545, 0.455, 0.750)
Au (0.687, 0.042, 0.750)
Au (0.958, 0.313, 0.750)


Here is a geometry-optimized Na3TlCl structure from Alexandria via LeMat-Bulk. Energies are from PBE.

## Properties
Theoretical density (g/cm³): 3.30
Formation energy (no corrections) (meV per atom): -595

a b c (Å): 5.376 5.376 5.376
angles (deg): 90.00 90.00 90.00
Atoms (fractional coordinates):
Na (0.000, 0.000, 0.500)
Na (0.000, 0.500, 0.000)
Na (0.500, 0.000, 0.000)
Tl (0.500, 0.500, 0.500)
Cl (0.000, 0.000, 0.000)


Here is a geometry-optimized Sr2GaSi structure from Alexandria via LeMat-Bulk. Energies are from PBE.

## Properties
Theoretical density (g/cm³): 3.81
Formation energy (no corrections) (meV per atom): -454

a b c (Å): 4.253 6.373 6.373
angles (deg): 43.51 90.00 90.00
Atoms (fractional coordinates):
Sr (0.000, 0.000, 0.000)
Sr (0.500, 0.280, 0.280)
Ga (0.500, 0.579, 0.579)
Si (0.000, 0.706, 0.706)


Here is a geometry-optimized Pr3Tl5 structure from Alexandria via LeMat-Bulk. Energies are from PBE.

## Properties
Theoretical density (g/cm³): 10.15
DFT formation energy (meV per atom): -382

a b c (Å): 6.697 6.697 10.772
angles (deg): 90.00 90.00 78.03
Atoms (fractional coordinates):
Pr (0.123, 0.877, 0.750)
Pr (0.296, 0.296, 0.000)
Pr (0.296, 0.296, 0.500)
Pr (0.704, 0.704, 0.000)
Pr (0.704, 0.704, 0.500)
Pr (0.877, 0.123, 0.250)
Tl (0.008, 0.426, 0.750)
Tl (0.194, 0.806, 0.042)
Tl (0.194, 0.806, 0.458)
Tl (0.426, 0.008, 0.250)
Tl (0.492, 0.508, 0.250)
Tl (0.508, 0.492, 0.750)
Tl (0.574, 0.992, 0.750)
Tl (0.806, 0.194, 0.542)
Tl (0.806, 0.194, 0.958)
Tl (0.992, 0.574, 0.250)


Here is a geometry-optimized PmSmTcNi structure from Alexandria via LeMat-Bulk. Energies are from PBE.

## Properties
Theoretical density (g/cm³): 8.93
DFT formation energy (meV per atom): 29

a b c (Å): 4.917 4.917 4.917
angles (deg): 60.00 60.00 60.00
Atoms (fractional coordinates):
Pm (0.000, 0.000, 0.000)
Sm (0.500, 0.500, 0.500)
Tc (0.750, 0.750, 0.750)
Ni (0.250, 0.250, 0.250)


Raw total energy readings, ordered: -3.18 -2.69 -3.29 -2.23 -3.41 -3.65 -6.37 eV per atom